1.
DFT (PBE) results for RbCeP2 after structural relaxation.

## Properties
As for the formation energy: -655 meV per atom.

Cell: 4.3180 4.3180 8.0418 Å, 74.43 74.43 60.00°
With the nearest neighbours (Å) after each atom.
Fractional coordinates of all 4 atoms:
Rb1 0.5000 0.5000 0.5000  6 P 3.53
P1 0.7244 0.7244 0.8267  3 Ce 2.82
P2 0.2756 0.2756 0.1733  3 Ce 2.82
Ce1 0.0000 0.0000 0.0000  6 P 2.82

***

2.
DFT (PBE) results for Rb2CePS6 after structural relaxation.

## Properties
The formation energy (no corrections) comes out at -0.826 eV/atom.

Cell: 6.4076 7.3390 7.3390 Å, 120.00 90.00 90.00°
With the nearest neighbours (Å) after each atom.
Fractional coordinates of all 10 atoms:
S1 0.1963 0.8517 0.7034  1 P 2.27
S2 0.8037 0.1483 0.2966  1 P 2.27
S3 0.8037 0.7034 0.8517  1 P 2.27
S4 0.1963 0.8517 0.1483  1 P 2.27
S5 0.1963 0.2966 0.1483  1 P 2.27
S6 0.8037 0.1483 0.8517  1 P 2.27
Rb1 0.1924 0.3333 0.6667  9 S 3.43-3.68
Rb2 0.8076 0.6667 0.3333  9 S 3.43-3.68
Ce1 0.5000 0.0000 0.0000  6 S 2.71
P1 0.0000 0.0000 0.0000  6 S 2.27

***

| no. | N(E_F) (states/eV/cell) |
| --- | --- |
| 1 | 7.1 |
| 2 | 4.4 |